Here is crystalline UNiAsO6 at its relaxed geometry from the Alexandria database. Energies are from PBE+U.

## Properties
Size of the total moment   3.0 μB per formula unit
E   -128.68 eV/cell

abc: 5.2825 5.2825 8.8086
angles: 90.00 90.00 120.00
Space group P-31c (No. 163)
Inequivalent atoms, fractional coordinates:
U 0.3333 0.6667 0.2500
Ni 0.0000 0.0000 0.0000
As 0.3333 0.6667 0.7500
O 0.0420 0.3671 0.6311